## CePm2Se (PBE)

Data for crystalline CePm2Se at its relaxed geometry.

```
data_CePm2Se
_chemical_formula_sum 'Ce3 Pm6 Se3'
_symmetry_space_group_name_H-M 'R 3 m'
_symmetry_Int_Tables_number 160
_symmetry_space_group_name_Hall 'R 3 -2"'
_cell_length_a 3.8613
_cell_length_b 3.8613
_cell_length_c 29.0507
_cell_angle_alpha 90.00
_cell_angle_beta 90.00
_cell_angle_gamma 120.00
loop_
_atom_site_label
_atom_site_fract_x
_atom_site_fract_y
_atom_site_fract_z
Ce1 0.0000 0.0000 0.0000
Pm1 0.0000 0.0000 0.2324
Pm2 0.0000 0.0000 0.4333
Se1 0.0000 0.0000 0.8326
```

ΔE_f (raw)   -0.7200 eV/atom
Magnetic moment   1.752 μB per formula unit
Calculated total energy   -65.40 eV/cell
N(E_F)   1.842 states/eV per atom

***

## Ce2Pm3Se8 (PBE)

Data for crystalline Ce2Pm3Se8 at its relaxed geometry.

```
data_Ce2Pm3Se8
_chemical_formula_sum 'Ce4 Pm6 Se16'
_symmetry_space_group_name_H-M 'C m m m'
_symmetry_Int_Tables_number 65
_symmetry_space_group_name_Hall '-C 2 2'
_cell_length_a 10.175
_cell_length_b 14.298
_cell_length_c 4.972
_cell_angle_alpha 90.00
_cell_angle_beta 90.00
_cell_angle_gamma 90.00
loop_
_atom_site_label
_atom_site_fract_x
_atom_site_fract_y
_atom_site_fract_z
Ce1 0.000 0.236 0.000
Pm1 0.000 0.500 0.000
Pm2 0.219 0.000 0.500
Se1 0.000 0.129 0.500
Se2 0.000 0.380 0.500
Se3 0.241 0.375 0.000
```

ΔE_f (raw)   -1.6797 eV/atom
ΔE to the lowest computed polymorph   60 meV/atom
Magnetic moment   1.122 μB per formula unit
Calculated total energy   -151.66 eV/cell
N(E_F)   0.726 states/eV per atom

***

## Ce3Pm4Se8 (PBE)

Data for crystalline Ce3Pm4Se8 at its relaxed geometry.

```
data_Ce3Pm4Se8
_chemical_formula_sum 'Ce6 Pm8 Se16'
_symmetry_space_group_name_H-M 'C 1 2/m 1'
_symmetry_Int_Tables_number 12
_cell_length_a 11.854
_cell_length_b 11.858
_cell_length_c 8.370
_cell_angle_alpha 90.00
_cell_angle_beta 134.91
_cell_angle_gamma 90.00
loop_
_symmetry_equiv_pos_as_xyz
'x,y,z'
'-x,-y,-z'
'-x,y,-z'
'x,-y,z'
'x+1/2,y+1/2,z'
'-x+1/2,-y+1/2,-z'
'-x+1/2,y+1/2,-z'
'x+1/2,-y+1/2,z'
loop_
_atom_site_label
_atom_site_fract_x
_atom_site_fract_y
_atom_site_fract_z
Ce1 0.000 0.000 0.000
Ce2 0.250 0.250 0.000
Pm1 0.000 0.500 0.000
Pm2 0.000 0.500 0.500
Pm3 0.250 0.250 0.500
Se1 0.000 0.248 0.500
Se2 0.000 0.250 0.000
Se3 0.248 0.000 0.500
Se4 0.249 0.000 0.997
```

ΔE_f (raw)   -1.8633 eV/atom
Magnetic moment   3.643 μB per formula unit
Calculated total energy   -185.26 eV/cell
N(E_F)   1.350 states/eV per atom

***

## CePmSe2 (PBE)

Data for crystalline CePmSe2 at its relaxed geometry.

```
data_CePmSe2
_chemical_formula_sum 'Ce4 Pm4 Se8'
_symmetry_space_group_name_H-M 'I 41/a m d'
_symmetry_Int_Tables_number 141
_cell_length_a 5.940
_cell_length_b 5.940
_cell_length_c 11.877
_cell_angle_alpha 90.00
_cell_angle_beta 90.00
_cell_angle_gamma 90.00
loop_
_symmetry_equiv_pos_as_xyz
'x,y,z'
'-x,-y,-z'
'-y+1/4,x+3/4,z+1/4'
'y+1/4,-x+3/4,-z+1/4'
'-x+1/2,-y,z+1/2'
'x+1/2,y,-z+1/2'
'y+1/4,-x+1/4,z+3/4'
'-y+1/4,x+1/4,-z+3/4'
'x,-y,-z'
'-x,y,z'
'-y+1/4,-x+1/4,-z+3/4'
'y+1/4,x+1/4,z+3/4'
'-x+1/2,y,-z+1/2'
'x+1/2,-y,z+1/2'
'y+1/4,x+3/4,-z+1/4'
'-y+1/4,-x+3/4,z+1/4'
'x+1/2,y+1/2,z+1/2'
'-x+1/2,-y+1/2,-z+1/2'
'-y+3/4,x+1/4,z+3/4'
'y+3/4,-x+1/4,-z+3/4'
'-x,-y+1/2,z'
'x,y+1/2,-z'
'y+3/4,-x+3/4,z+1/4'
'-y+3/4,x+3/4,-z+1/4'
'x+1/2,-y+1/2,-z+1/2'
'-x+1/2,y+1/2,z+1/2'
'-y+3/4,-x+3/4,-z+1/4'
'y+3/4,x+3/4,z+1/4'
'-x,y+1/2,-z'
'x,-y+1/2,z'
'y+3/4,x+1/4,-z+3/4'
'-y+3/4,-x+1/4,z+3/4'
loop_
_atom_site_label
_atom_site_fract_x
_atom_site_fract_y
_atom_site_fract_z
Ce1 0.000 0.250 0.375
Pm1 0.000 0.250 0.875
Se1 0.000 0.250 0.125
```

ΔE_f (raw)   -1.8335 eV/atom
ΔE to the lowest computed polymorph   2 meV/atom
Magnetic moment   1.055 μB per formula unit
Calculated total energy   -99.95 eV/cell
N(E_F)   1.638 states/eV per atom

***

## Ce4Pm3Se8 (PBE)

Data for crystalline Ce4Pm3Se8 at its relaxed geometry.

```
data_Ce4Pm3Se8
_chemical_formula_sum 'Ce8 Pm6 Se16'
_symmetry_space_group_name_H-M 'C 1 2/m 1'
_symmetry_Int_Tables_number 12
_cell_length_a 11.859
_cell_length_b 11.864
_cell_length_c 8.385
_cell_angle_alpha 90.00
_cell_angle_beta 134.96
_cell_angle_gamma 90.00
loop_
_symmetry_equiv_pos_as_xyz
'x,y,z'
'-x,-y,-z'
'-x,y,-z'
'x,-y,z'
'x+1/2,y+1/2,z'
'-x+1/2,-y+1/2,-z'
'-x+1/2,y+1/2,-z'
'x+1/2,-y+1/2,z'
loop_
_atom_site_label
_atom_site_fract_x
_atom_site_fract_y
_atom_site_fract_z
Ce1 0.000 0.000 0.000
Ce2 0.000 0.500 0.500
Ce3 0.250 0.250 0.000
Pm1 0.000 0.500 0.000
Pm2 0.250 0.250 0.500
Se1 0.000 0.247 0.500
Se2 0.000 0.250 0.000
Se3 0.247 0.000 0.500
Se4 0.248 0.000 0.994
```

ΔE_f (raw)   -1.8437 eV/atom
Magnetic moment   4.787 μB per formula unit
Calculated total energy   -187.04 eV/cell
N(E_F)   1.751 states/eV per atom

***

## Ce2Pm3Se4 (PBE)

Data for crystalline Ce2Pm3Se4 at its relaxed geometry.

```
data_Ce2Pm3Se4
_chemical_formula_sum 'Ce4 Pm6 Se8'
_symmetry_space_group_name_H-M 'C 1 2/m 1'
_symmetry_Int_Tables_number 12
_cell_length_a 13.804
_cell_length_b 4.143
_cell_length_c 10.177
_cell_angle_alpha 90.00
_cell_angle_beta 119.23
_cell_angle_gamma 90.00
loop_
_symmetry_equiv_pos_as_xyz
'x,y,z'
'-x,-y,-z'
'-x,y,-z'
'x,-y,z'
'x+1/2,y+1/2,z'
'-x+1/2,-y+1/2,-z'
'-x+1/2,y+1/2,-z'
'x+1/2,-y+1/2,z'
loop_
_atom_site_label
_atom_site_fract_x
_atom_site_fract_y
_atom_site_fract_z
Ce1 0.095 0.000 0.405
Pm1 0.000 0.500 0.000
Pm2 0.205 0.500 0.799
Se1 0.102 0.000 0.899
Se2 0.196 0.500 0.304
```

ΔE_f (raw)   -1.5434 eV/atom
Magnetic moment   2.514 μB per formula unit
Calculated total energy   -107.90 eV/cell
N(E_F)   1.722 states/eV per atom

***

## Ce2PmSe4 (PBE)

Data for crystalline Ce2PmSe4 at its relaxed geometry.

```
data_Ce2PmSe4
_chemical_formula_sum 'Ce8 Pm4 Se16'
_symmetry_space_group_name_H-M 'I m m a'
_symmetry_Int_Tables_number 74
_symmetry_space_group_name_Hall '-I 2b 2'
_cell_length_a 8.401
_cell_length_b 8.466
_cell_length_c 11.784
_cell_angle_alpha 90.00
_cell_angle_beta 90.00
_cell_angle_gamma 90.00
loop_
_atom_site_label
_atom_site_fract_x
_atom_site_fract_y
_atom_site_fract_z
Ce1 0.000 0.000 0.000
Ce2 0.250 0.250 0.250
Pm1 0.250 0.250 0.750
Se1 0.000 0.001 0.746
Se2 0.244 0.250 0.000
```

ΔE_f (raw)   -1.8107 eV/atom
ΔE to the lowest computed polymorph   0 meV/atom
Magnetic moment   2.129 μB per formula unit
Calculated total energy   -172.93 eV/cell
N(E_F)   2.036 states/eV per atom

***

## CePmSe2 (PBE)

Data for crystalline CePmSe2 at its relaxed geometry.

```
data_CePmSe2
_chemical_formula_sum 'Ce4 Pm4 Se8'
_symmetry_space_group_name_H-M 'F m -3 m'
_symmetry_Int_Tables_number 225
_symmetry_space_group_name_Hall '-F 4 2 3'
_cell_length_a 7.267
_cell_length_b 7.267
_cell_length_c 7.267
_cell_angle_alpha 90.00
_cell_angle_beta 90.00
_cell_angle_gamma 90.00
loop_
_atom_site_label
_atom_site_fract_x
_atom_site_fract_y
_atom_site_fract_z
Ce1 0.000 0.000 0.000
Pm1 0.000 0.000 0.500
Se1 0.250 0.250 0.250
```

ΔE_f (raw)   -1.5868 eV/atom
ΔE to the lowest computed polymorph   248 meV/atom
Magnetic moment   1.777 μB per formula unit
Calculated total energy   -96.00 eV/cell
N(E_F)   1.476 states/eV per atom

***

## CePmSe2 (PBE)

Data for crystalline CePmSe2 at its relaxed geometry.

```
data_CePmSe2
_chemical_formula_sum 'Ce3 Pm3 Se6'
_symmetry_space_group_name_H-M 'R -3 m'
_symmetry_Int_Tables_number 166
_symmetry_space_group_name_Hall '-R 3 2"'
_cell_length_a 4.1937
_cell_length_b 4.1937
_cell_length_c 20.6543
_cell_angle_alpha 90.00
_cell_angle_beta 90.00
_cell_angle_gamma 120.00
loop_
_atom_site_label
_atom_site_fract_x
_atom_site_fract_y
_atom_site_fract_z
Ce1 0.0000 0.0000 0.0000
Pm1 0.0000 0.0000 0.5000
Se1 0.0000 0.0000 0.2497
```

ΔE_f (raw)   -1.8351 eV/atom
ΔE to the lowest computed polymorph   0 meV/atom
Magnetic moment   0.979 μB per formula unit
Calculated total energy   -74.98 eV/cell
N(E_F)   1.668 states/eV per atom

***

## CePmSe2 (PBE)

Data for crystalline CePmSe2 at its relaxed geometry.

```
data_CePmSe2
_chemical_formula_sum 'Ce1 Pm1 Se2'
_symmetry_space_group_name_H-M 'P 4/m m m'
_symmetry_Int_Tables_number 123
_symmetry_space_group_name_Hall '-P 4 2'
_cell_length_a 5.140
_cell_length_b 5.140
_cell_length_c 3.639
_cell_angle_alpha 90.00
_cell_angle_beta 90.00
_cell_angle_gamma 90.00
loop_
_atom_site_label
_atom_site_fract_x
_atom_site_fract_y
_atom_site_fract_z
Ce1 0.000 0.000 0.000
Pm1 0.500 0.500 0.000
Se1 0.000 0.500 0.500
```

ΔE_f (raw)   -1.5915 eV/atom
ΔE to the lowest computed polymorph   244 meV/atom
Magnetic moment   1.950 μB per formula unit
Calculated total energy   -24.02 eV/cell
N(E_F)   1.523 states/eV per atom

***

## Ce5PmSe6 (PBE)

Data for crystalline Ce5PmSe6 at its relaxed geometry.

```
data_Ce5PmSe6
_chemical_formula_sum 'Ce10 Pm2 Se12'
_symmetry_space_group_name_H-M 'C 1 2/m 1'
_symmetry_Int_Tables_number 12
_cell_length_a 7.271
_cell_length_b 12.608
_cell_length_c 7.272
_cell_angle_alpha 90.00
_cell_angle_beta 109.52
_cell_angle_gamma 90.00
loop_
_symmetry_equiv_pos_as_xyz
'x,y,z'
'-x,-y,-z'
'-x,y,-z'
'x,-y,z'
'x+1/2,y+1/2,z'
'-x+1/2,-y+1/2,-z'
'-x+1/2,y+1/2,-z'
'x+1/2,-y+1/2,z'
loop_
_atom_site_label
_atom_site_fract_x
_atom_site_fract_y
_atom_site_fract_z
Ce1 0.000 0.000 0.000
Ce2 0.000 0.167 0.500
Ce3 0.000 0.334 0.000
Pm1 0.000 0.500 0.500
Se1 0.250 0.000 0.750
Se2 0.250 0.167 0.250
```

ΔE_f (raw)   -1.8245 eV/atom
Magnetic moment   4.522 μB per formula unit
Calculated total energy   -154.44 eV/cell
N(E_F)   2.574 states/eV per atom

***

## CePmSe2 (PBE)

Data for crystalline CePmSe2 at its relaxed geometry.

```
data_CePmSe2
_chemical_formula_sum 'Ce2 Pm2 Se4'
_symmetry_space_group_name_H-M 'P 63/m m c'
_symmetry_Int_Tables_number 194
_symmetry_space_group_name_Hall '-P 6c 2c'
_cell_length_a 4.1274
_cell_length_b 4.1274
_cell_length_c 14.2812
_cell_angle_alpha 90.00
_cell_angle_beta 90.00
_cell_angle_gamma 120.00
loop_
_atom_site_label
_atom_site_fract_x
_atom_site_fract_y
_atom_site_fract_z
Ce1 0.0000 0.0000 0.0000
Pm1 0.3333 0.6667 0.2500
Se1 0.3333 0.6667 0.6241
```

ΔE_f (raw)   -1.8118 eV/atom
ΔE to the lowest computed polymorph   23 meV/atom
Magnetic moment   1.022 μB per formula unit
Calculated total energy   -49.80 eV/cell
N(E_F)   1.523 states/eV per atom